# GGA-PBEsol Co2IrPt, optimized geometry
# distance to the lowest polymorph of the same formula	0.032	eV/atom
# formation energy from the elements	0.0371	eV per atom
# size of the total moment	1.00	μB/atom
data_Co2IrPt
_cell_length_a 2.6459
_cell_length_b 4.4721
_cell_length_c 4.5972
_cell_angle_alpha 99.94
_cell_angle_beta 90.00
_cell_angle_gamma 107.21
_space_group_name_H-M_alt 'P 1'
_space_group_IT_number 1
_space_group_name_Hall 'P 1'
loop_
_atom_site_label
_atom_site_type_symbol
_atom_site_fract_x
_atom_site_fract_y
_atom_site_fract_z
Co1 Co 0.7482 0.4965 0.7368
Co2 Co 0.2518 0.5035 0.2632
Ir1 Ir 0.0000 0.0000 0.5000
Pt1 Pt 0.5000 0.0000 0.0000